Record 1
Here is Li5CuAg after structural relaxation from Alexandria. Energies are from PBE.

a b c (Å): 5.450 5.450 9.501
angles (deg): 78.84 78.84 58.11
Atoms (fractional coordinates):
Li 0.664 0.864 0.176
Li 0.808 0.192 0.750
Li 0.421 0.296 0.532
Li 0.704 0.579 0.968
Li 0.296 0.421 0.032
Li 0.336 0.136 0.824
Li 0.579 0.704 0.468
Li 0.864 0.664 0.676
Li 0.192 0.808 0.250
Li 0.136 0.336 0.324
Ag 0.301 0.699 0.750
Ag 0.699 0.301 0.250
Cu 0.000 0.000 0.500
Cu 0.000 0.000 0.000

## Properties
total magnetization	0.00	μB/f.u.
density of states at the Fermi level	0.371	states/eV/atom
E above lowest polymorph	0.0	meV/atom



Record 2
Here is LiCu2Ag2 after structural relaxation from Alexandria. Energies are from PBE.

a b c (Å): 7.642 7.642 2.812
angles (deg): 90.00 90.00 90.00
Atoms (fractional coordinates):
Cu 0.842 0.342 0.500
Cu 0.658 0.842 0.500
Cu 0.158 0.658 0.500
Cu 0.342 0.158 0.500
Li 0.000 0.000 0.000
Li 0.500 0.500 0.000
Ag 0.640 0.140 0.000
Ag 0.860 0.640 0.000
Ag 0.140 0.360 0.000
Ag 0.360 0.860 0.000

## Properties
total magnetization	0.00	μB/f.u.
density of states at the Fermi level	0.368	states/eV/atom
E above lowest polymorph	36.2	meV/atom



Record 3
Here is LiCuAg4 after structural relaxation from Alexandria. Energies are from PBE.

a b c (Å): 5.144 5.350 7.274
angles (deg): 90.00 90.00 90.00
Atoms (fractional coordinates):
Ag 0.742 0.788 0.824
Ag 0.258 0.288 0.324
Ag 0.742 0.288 0.676
Ag 0.759 0.045 0.323
Ag 0.759 0.545 0.177
Ag 0.241 0.045 0.677
Ag 0.258 0.788 0.176
Ag 0.241 0.545 0.823
Cu 0.000 0.663 0.500
Cu 0.000 0.163 0.000
Li 0.500 0.672 0.500
Li 0.500 0.172 0.000

## Properties
total magnetization	0.00	μB/f.u.
density of states at the Fermi level	0.291	states/eV/atom
E above lowest polymorph	0.0	meV/atom



Record 4
Here is LiCu2Ag after structural relaxation from Alexandria. Energies are from PBE.

a b c (Å): 2.725 2.725 7.647
angles (deg): 90.00 90.00 90.00
Atoms (fractional coordinates):
Li 0.500 0.500 0.250
Cu 0.000 0.000 0.490
Cu 0.000 0.000 0.010
Ag 0.500 0.500 0.750

## Properties
total magnetization	0.00	μB/f.u.
density of states at the Fermi level	0.347	states/eV/atom
E above lowest polymorph	103.3	meV/atom



Record 5
Here is Li4CuAg2 after structural relaxation from Alexandria. Energies are from PBE.

a b c (Å): 4.194 5.431 5.431
angles (deg): 102.58 90.00 90.00
Atoms (fractional coordinates):
Ag 0.000 0.704 0.296
Ag 0.000 0.296 0.704
Li 0.500 0.500 0.000
Li 0.500 0.000 0.500
Li 0.000 0.201 0.201
Li 0.000 0.799 0.799
Cu 0.500 0.500 0.500

## Properties
total magnetization	0.00	μB/f.u.
density of states at the Fermi level	0.248	states/eV/atom
E above lowest polymorph	0.0	meV/atom



Record 6
Here is Li3CuAg2 after structural relaxation from Alexandria. Energies are from PBE.

a b c (Å): 4.832 4.832 8.978
angles (deg): 100.65 100.65 109.77
Atoms (fractional coordinates):
Li 0.375 0.625 0.750
Li 0.625 0.375 0.250
Li 0.799 0.549 0.599
Li 0.201 0.451 0.401
Li 0.549 0.799 0.099
Li 0.451 0.201 0.901
Ag 0.708 0.959 0.417
Ag 0.959 0.708 0.917
Ag 0.292 0.041 0.583
Ag 0.041 0.292 0.083
Cu 0.125 0.875 0.250
Cu 0.875 0.125 0.750

## Properties
total magnetization	0.00	μB/f.u.
density of states at the Fermi level	0.279	states/eV/atom
E above lowest polymorph	0.0	meV/atom



Record 7
Here is Li2CuAg2 after structural relaxation from Alexandria. Energies are from PBE.

a b c (Å): 7.000 7.000 3.089
angles (deg): 90.00 90.00 90.00
Atoms (fractional coordinates):
Li 0.368 0.868 0.000
Li 0.868 0.632 0.000
Li 0.632 0.132 0.000
Li 0.132 0.368 0.000
Ag 0.669 0.831 0.500
Ag 0.169 0.669 0.500
Ag 0.831 0.331 0.500
Ag 0.331 0.169 0.500
Cu 0.000 0.000 0.000
Cu 0.500 0.500 0.000

## Properties
total magnetization	0.00	μB/f.u.
density of states at the Fermi level	0.285	states/eV/atom
E above lowest polymorph	127.8	meV/atom



Record 8
Here is Li12Cu2Ag5 after structural relaxation from Alexandria. Energies are from PBE.

a b c (Å): 7.167 7.782 6.783
angles (deg): 70.65 90.00 117.42
Atoms (fractional coordinates):
Li 0.100 0.707 0.453
Li 0.900 0.293 0.547
Li 0.475 0.951 0.705
Li 0.525 0.049 0.295
Li 0.394 0.293 0.547
Li 0.064 0.128 0.826
Li 0.606 0.707 0.453
Li 0.663 0.710 0.875
Li 0.337 0.290 0.125
Li 0.936 0.872 0.174
Li 0.047 0.710 0.875
Li 0.953 0.290 0.125
Ag 0.000 0.000 0.500
Ag 0.687 0.373 0.823
Ag 0.736 0.471 0.243
Ag 0.313 0.627 0.177
Ag 0.264 0.529 0.757
Cu 0.322 0.000 0.000
Cu 0.678 0.000 0.000

## Properties
total magnetization	0.00	μB/f.u.
density of states at the Fermi level	0.336	states/eV/atom



Record 9
Here is LiCu2Ag2 after structural relaxation from Alexandria. Energies are from PBE.

a b c (Å): 7.569 7.569 2.831
angles (deg): 90.00 90.00 90.00
Atoms (fractional coordinates):
Cu 0.383 0.883 0.000
Cu 0.117 0.383 0.000
Cu 0.883 0.617 0.000
Cu 0.617 0.117 0.000
Ag 0.321 0.179 0.500
Ag 0.179 0.679 0.500
Ag 0.679 0.821 0.500
Ag 0.821 0.321 0.500
Li 0.500 0.500 0.000
Li 0.000 0.000 0.000

## Properties
total magnetization	0.00	μB/f.u.
density of states at the Fermi level	0.301	states/eV/atom
E above lowest polymorph	0.0	meV/atom



Record 10
Here is LiCu2Ag after structural relaxation from Alexandria. Energies are from PBE.

a b c (Å): 4.272 4.272 4.272
angles (deg): 60.00 60.00 60.00
Atoms (fractional coordinates):
Li 0.750 0.750 0.750
Ag 0.500 0.500 0.500
Cu 0.250 0.250 0.250
Cu 0.000 0.000 0.000

## Properties
total magnetization	0.00	μB/f.u.
density of states at the Fermi level	0.564	states/eV/atom
E above lowest polymorph	32.1	meV/atom



no.,VASP energy (Ry/atom),energy of formation (eV per formula unit)
1,-0.1739,-0.05
2,-0.2264,0.40
3,-0.2112,0.17
4,-0.2330,0.28
5,-0.1895,-0.59
6,-0.1987,-0.68
7,-0.1985,0.12
8,-0.1799,-1.10
9,-0.2291,0.22
10,-0.2383,-0.01